Entry from Alexandria: Rb5Hg6Bi after structural relaxation (PBE).

Its final energy is -1.09 eV per atom. The space group is C2/m. The energy of formation from the pure elements is -242 kJ/mol of formula units. The calculation puts the density at 5.9 Mg/m³. The value obtained for the calculated volume is 516.5 Å³ per cell. As for the density of states at the Fermi level: 5.4 states/eV/f.u.

Lattice parameters (Å, degrees): 10.038 10.038 6.783 101.02 101.02 124.12
Fractional positions:
Rb  0.000  0.000  0.000
Rb  0.192  0.808  0.500
Rb  0.385  0.615  0.000
Rb  0.615  0.385  0.000
Rb  0.808  0.192  0.500
Hg  0.003  0.627  0.878
Hg  0.195  0.195  0.596
Hg  0.373  0.997  0.122
Hg  0.627  0.003  0.878
Hg  0.805  0.805  0.404
Hg  0.997  0.373  0.122
Bi  0.500  0.500  0.500

---

Entry from Alexandria: Rb3Hg3Bi2 after structural relaxation (PBE).

Its final energy is -1.71 eV per atom. The space group is Cmcm. The energy of formation from the pure elements is -203 kJ/mol of formula units. The calculation puts the density at 6.8 Mg/m³. The value obtained for the calculated volume is 626.0 Å³ per cell. As for the density of states at the Fermi level: 4.3 states/eV/f.u.

Lattice parameters (Å, degrees): 6.947 6.947 18.236 90.00 90.00 134.66
Fractional positions:
Rb  0.092  0.908  0.605
Rb  0.092  0.908  0.895
Rb  0.393  0.607  0.750
Rb  0.607  0.393  0.250
Rb  0.908  0.092  0.105
Rb  0.908  0.092  0.395
Hg  0.312  0.688  0.250
Hg  0.387  0.613  0.533
Hg  0.387  0.613  0.967
Hg  0.613  0.387  0.033
Hg  0.613  0.387  0.467
Hg  0.688  0.312  0.750
Bi  0.201  0.799  0.097
Bi  0.201  0.799  0.403
Bi  0.799  0.201  0.597
Bi  0.799  0.201  0.903

---

Entry from Alexandria: Rb2HgBi3 after structural relaxation (PBE).

Its final energy is -2.53 eV per atom. The space group is Cm. The energy of formation from the pure elements is -125 kJ/mol of formula units. The calculation puts the density at 7.1 Mg/m³. The value obtained for the calculated volume is 233.9 Å³ per cell. As for the density of states at the Fermi level: 2.9 states/eV/f.u.

Lattice parameters (Å, degrees): 7.077 7.077 8.295 121.61 121.61 42.96
Fractional positions:
Rb  0.000  0.000  0.000
Rb  0.558  0.558  0.411
Hg  0.626  0.626  0.869
Bi  0.252  0.252  0.875
Bi  0.334  0.334  0.570
Bi  0.807  0.807  0.312

---

Entry from Alexandria: Rb2Hg4Bi3 after structural relaxation (PBE).

Its final energy is -1.81 eV per atom. The space group is Cmce. The energy of formation from the pure elements is -145 kJ/mol of formula units. The calculation puts the density at 8.7 Mg/m³. The value obtained for the calculated volume is 613.5 Å³ per cell. As for the density of states at the Fermi level: 3.8 states/eV/f.u.

Lattice parameters (Å, degrees): 9.894 9.894 9.813 90.00 90.00 140.31
Fractional positions:
Rb  0.110  0.890  0.911
Rb  0.390  0.610  0.411
Rb  0.610  0.390  0.589
Rb  0.890  0.110  0.089
Hg  0.179  0.821  0.527
Hg  0.194  0.306  0.750
Hg  0.306  0.194  0.250
Hg  0.321  0.679  0.027
Hg  0.679  0.321  0.973
Hg  0.694  0.806  0.750
Hg  0.806  0.694  0.250
Hg  0.821  0.179  0.473
Bi  0.000  0.000  0.500
Bi  0.028  0.472  0.750
Bi  0.472  0.028  0.250
Bi  0.500  0.500  0.000
Bi  0.528  0.972  0.750
Bi  0.972  0.528  0.250

---

Entry from Alexandria: Rb2HgBi2 after structural relaxation (PBE).

Its final energy is -2.22 eV per atom. For the distance to the lowest polymorph of the same formula, the calculation gives 0.0678 eV per atom. The space group is Amm2. The energy of formation from the pure elements is -105 kJ/mol of formula units. The calculation puts the density at 6.2 Mg/m³. The value obtained for the calculated volume is 211.7 Å³ per cell. As for the density of states at the Fermi level: 3.4 states/eV/f.u.

Lattice parameters (Å, degrees): 5.416 8.340 8.340 34.20 90.00 90.00
Fractional positions:
Rb  0.000  0.000  0.000
Rb  0.000  0.237  0.237
Hg  0.500  0.428  0.428
Bi  0.500  0.622  0.622
Bi  0.500  0.815  0.815

---

Entry from Alexandria: Rb2HgBi2 after structural relaxation (PBE).

Its final energy is -2.17 eV per atom. For the distance to the lowest polymorph of the same formula, the calculation gives 0.1120 eV per atom. The space group is P4/mbm. The energy of formation from the pure elements is -84 kJ/mol of formula units. The calculation puts the density at 6.0 Mg/m³. The value obtained for the calculated volume is 439.3 Å³ per cell. As for the density of states at the Fermi level: 3.7 states/eV/f.u.

Lattice parameters (Å, degrees): 10.685 10.685 3.848 90.00 90.00 90.00
Fractional positions:
Rb  0.196  0.304  0.000
Rb  0.304  0.804  0.000
Rb  0.696  0.196  0.000
Rb  0.804  0.696  0.000
Hg  0.000  0.000  0.500
Hg  0.500  0.500  0.500
Bi  0.097  0.597  0.500
Bi  0.403  0.097  0.500
Bi  0.597  0.903  0.500
Bi  0.903  0.403  0.500

---

Entry from Alexandria: Rb2Hg3Bi2 after structural relaxation (PBE).

Its final energy is -1.74 eV per atom. The space group is C2/m. The energy of formation from the pure elements is -155 kJ/mol of formula units. The calculation puts the density at 7.3 Mg/m³. The value obtained for the calculated volume is 269.1 Å³ per cell. As for the density of states at the Fermi level: 1.0 states/eV/f.u.

Lattice parameters (Å, degrees): 7.184 7.184 6.950 96.98 96.98 49.20
Fractional positions:
Rb  0.108  0.108  0.294
Rb  0.892  0.892  0.706
Hg  0.236  0.236  0.811
Hg  0.500  0.500  0.000
Hg  0.764  0.764  0.189
Bi  0.403  0.403  0.342
Bi  0.597  0.597  0.658

---

Entry from Alexandria: RbHg4Bi2 after structural relaxation (PBE).

Its final energy is -1.50 eV per atom. The space group is Cmmm. The energy of formation from the pure elements is -57 kJ/mol of formula units. The calculation puts the density at 9.2 Mg/m³. The value obtained for the calculated volume is 236.9 Å³ per cell. As for the density of states at the Fermi level: 1.9 states/eV/f.u.

Lattice parameters (Å, degrees): 8.592 8.592 5.546 90.00 90.00 144.65
Fractional positions:
Rb  0.000  0.000  0.000
Hg  0.191  0.809  0.500
Hg  0.302  0.698  0.000
Hg  0.698  0.302  0.000
Hg  0.809  0.191  0.500
Bi  0.404  0.596  0.500
Bi  0.596  0.404  0.500

---

Entry from Alexandria: Rb2HgBi after structural relaxation (PBE).

Its final energy is -1.79 eV per atom. For the distance to the lowest polymorph of the same formula, the calculation gives 0.0000 eV per atom. The space group is Cmcm. The energy of formation from the pure elements is -99 kJ/mol of formula units. The calculation puts the density at 5.5 Mg/m³. The value obtained for the calculated volume is 353.0 Å³ per cell. As for the density of states at the Fermi level: 2.7 states/eV/f.u.

Lattice parameters (Å, degrees): 7.291 7.291 6.782 90.00 90.00 78.29
Fractional positions:
Rb  0.020  0.330  0.250
Rb  0.330  0.020  0.750
Rb  0.670  0.980  0.250
Rb  0.980  0.670  0.750
Hg  0.500  0.500  0.000
Hg  0.500  0.500  0.500
Bi  0.211  0.789  0.250
Bi  0.789  0.211  0.750

---

Entry from Alexandria: Rb2HgBi after structural relaxation (PBE).

Its final energy is -1.74 eV per atom. For the distance to the lowest polymorph of the same formula, the calculation gives 0.0456 eV per atom. The space group is P4/mmm. The energy of formation from the pure elements is -81 kJ/mol of formula units. The calculation puts the density at 5.8 Mg/m³. The value obtained for the calculated volume is 166.3 Å³ per cell. As for the density of states at the Fermi level: 2.0 states/eV/f.u.

Lattice parameters (Å, degrees): 3.974 3.974 10.525 90.00 90.00 90.00
Fractional positions:
Rb  0.000  0.000  0.242
Rb  0.000  0.000  0.758
Hg  0.500  0.500  0.500
Bi  0.500  0.500  0.000

---

Entry from Alexandria: RbHg6Bi2 after structural relaxation (PBE).

Its final energy is -1.25 eV per atom. The space group is P-1. The energy of formation from the pure elements is -66 kJ/mol of formula units. The calculation puts the density at 9.3 Mg/m³. The value obtained for the calculated volume is 610.3 Å³ per cell. As for the density of states at the Fermi level: 2.7 states/eV/f.u.

Lattice parameters (Å, degrees): 5.276 11.251 11.264 72.21 76.67 76.71
Fractional positions:
Rb  0.250  0.228  0.272
Rb  0.750  0.772  0.728
Hg  0.125  0.065  0.065
Hg  0.186  0.668  0.998
Hg  0.195  0.042  0.669
Hg  0.305  0.831  0.458
Hg  0.314  0.502  0.832
Hg  0.375  0.435  0.435
Hg  0.625  0.565  0.565
Hg  0.686  0.498  0.168
Hg  0.695  0.169  0.542
Hg  0.805  0.958  0.331
Hg  0.814  0.332  0.002
Hg  0.875  0.935  0.935
Bi  0.045  0.349  0.707
Bi  0.455  0.793  0.152
Bi  0.545  0.207  0.848
Bi  0.955  0.651  0.293

---

Entry from Alexandria: Rb3Hg7Bi2 after structural relaxation (PBE).

Its final energy is -1.25 eV per atom. The space group is P2/m. The energy of formation from the pure elements is -217 kJ/mol of formula units. The calculation puts the density at 7.5 Mg/m³. The value obtained for the calculated volume is 457.9 Å³ per cell. As for the density of states at the Fermi level: 3.1 states/eV/f.u.

Lattice parameters (Å, degrees): 5.207 5.671 15.708 90.00 99.20 90.00
Fractional positions:
Rb  0.000  0.000  0.000
Rb  0.332  0.500  0.659
Rb  0.668  0.500  0.341
Hg  0.067  0.500  0.138
Hg  0.229  0.000  0.456
Hg  0.417  0.000  0.830
Hg  0.500  0.500  0.000
Hg  0.583  0.000  0.170
Hg  0.771  0.000  0.544
Hg  0.933  0.500  0.862
Bi  0.130  0.000  0.266
Bi  0.870  0.000  0.734

---

> Number 7 is which compound?

Rb2Hg3Bi2

---

> Look up the final energy of the fourth one.

-1.81 eV per atom

---

> What is the density in the first record?

5.9 Mg/m³